## AgMo2Pt (PBE)

Data for a geometry-optimized AgMo2Pt structure.

```
AgMo2Pt
1.0
3.883 0.000 0.000
0.000 3.848 0.000
0.000 0.000 4.264
Ag Mo Pt
1 2 1
direct
0.000 0.500 0.500 Ag
0.000 0.000 0.000 Mo
0.500 0.500 0.000 Mo
0.500 0.000 0.500 Pt
```

Calculated values
Crystal system: orthorhombic
Final energy (eV for the cell shown): -29.72
Theoretical density (g/cm³): 12.90
V (Å³/f.u.): 63.7


## AgMoPt2 (PBE)

Data for a geometry-optimized AgMoPt2 structure.

```
AgMoPt2
1.0
4.881 -0.023 0.000
1.638 4.598 0.000
-3.259 -2.288 2.823
Ag Mo Pt
1 1 2
direct
0.250 0.750 0.500 Ag
0.750 0.250 0.500 Mo
0.000 0.000 0.000 Pt
0.500 0.500 0.000 Pt
```

Calculated values
Crystal system: tetragonal
Final energy (eV for the cell shown): -25.69
Theoretical density (g/cm³): 15.54
V (Å³/f.u.): 63.5


## AgMo2Pt (PBE)

Data for a geometry-optimized AgMo2Pt structure.

```
AgMo2Pt
1.0
-1.035 -1.025 -2.331
0.454 -2.551 0.920
-7.807 -0.120 3.521
Ag Mo Pt
1 2 1
direct
0.500 0.500 0.746 Ag
0.000 0.000 0.004 Mo
0.500 0.500 0.265 Mo
0.000 0.000 0.485 Pt
```

Calculated values
Crystal system: tetragonal
Final energy (eV for the cell shown): -30.25
Theoretical density (g/cm³): 12.69
V (Å³/f.u.): 64.7


## Ag2MoPt (PBE)

Data for a geometry-optimized Ag2MoPt structure.

```
Ag2MoPt
1.0
5.674 -0.001 0.001
2.816 4.926 -0.001
-3.514 -3.723 2.447
Ag Mo Pt
2 1 1
direct
0.009 0.009 0.000 Ag
0.747 0.247 0.500 Ag
0.483 0.483 0.000 Mo
0.261 0.761 0.500 Pt
```

Calculated values
Crystal system: orthorhombic
Final energy (eV for the cell shown): -21.15
Theoretical density (g/cm³): 12.30
V (Å³/f.u.): 68.4


## AgMoPt2 (PBE)

Data for a geometry-optimized AgMoPt2 structure.

```
AgMoPt2
1.0
-1.445 -2.162 4.069
-1.238 -4.152 2.133
4.500 -1.305 1.823
Ag Mo Pt
1 1 2
direct
0.750 0.750 0.750 Ag
0.250 0.250 0.250 Mo
0.996 0.996 0.011 Pt
0.504 0.504 0.489 Pt
```

Calculated values
Crystal system: monoclinic
Final energy (eV for the cell shown): -25.62
Theoretical density (g/cm³): 15.44
V (Å³/f.u.): 63.9


## AgMo2Pt (PBE)

Data for a geometry-optimized AgMo2Pt structure.

```
AgMo2Pt
1.0
4.481 -0.046 0.616
1.773 1.622 3.832
1.840 -2.827 3.015
Mo Ag Pt
2 1 1
direct
0.250 0.250 0.250 Mo
0.750 0.750 0.750 Mo
0.000 0.000 0.000 Ag
0.500 0.500 0.500 Pt
```

Calculated values
Crystal system: cubic
Final energy (eV for the cell shown): -28.22
Theoretical density (g/cm³): 12.55
V (Å³/f.u.): 65.5